Record 1
# AgHgIr2

AgHgIr2 after structural relaxation (GGA-PBE, the Open Quantum Materials Database). Values from VASP.

Calculated values
For the volume, the calculation gives 67 Å³ per cell. The total energy is -18.40 eV/cell. The calculation puts the density at 17047 kg/m³. Its energy relative to the elements is 0.6073 eV/atom.

Geometry as Quantum ESPRESSO input:
```
&SYSTEM
  ibrav = 0, nat = 4, ntyp = 3
/
ATOMIC_SPECIES
Ag 107.87 Ag.upf
Hg 200.59 Hg.upf
Ir 192.22 Ir.upf
ATOMIC_POSITIONS crystal
Ag 0.000 0.000 0.000
Hg 0.750 0.750 0.750
Ir 0.250 0.250 0.250
Ir 0.500 0.500 0.500
CELL_PARAMETERS angstrom
0.000 3.232 3.232
3.232 0.000 3.232
3.232 3.232 0.000
```

Record 2
# MgGeAu2

MgGeAu2 after structural relaxation (GGA-PBE, the Open Quantum Materials Database). Values from VASP.

Calculated values
For the volume, the calculation gives 74 Å³ per cell. The total energy is -13.26 eV/cell. The calculation puts the density at 10972 kg/m³.

Geometry as Quantum ESPRESSO input:
```
&SYSTEM
  ibrav = 0, nat = 4, ntyp = 3
/
ATOMIC_SPECIES
Mg 24.30 Mg.upf
Ge 72.64 Ge.upf
Au 196.97 Au.upf
ATOMIC_POSITIONS crystal
Mg 0.000 0.000 0.000
Ge 0.750 0.750 0.750
Au 0.250 0.250 0.250
Au 0.500 0.500 0.500
CELL_PARAMETERS angstrom
0.000 3.337 3.337
3.337 0.000 3.337
3.337 3.337 0.000
```

Record 3
# Nd2Ho2Al3

Nd2Ho2Al3 after structural relaxation (GGA-PBE, the Open Quantum Materials Database). Values from VASP.

Calculated values
For the volume, the calculation gives 196 Å³ per cell. The total energy is -30.61 eV/cell. The calculation puts the density at 5921 kg/m³.

Geometry as Quantum ESPRESSO input:
```
&SYSTEM
  ibrav = 0, nat = 7, ntyp = 3
/
ATOMIC_SPECIES
Nd 144.24 Nd.upf
Ho 164.93 Ho.upf
Al 26.98 Al.upf
ATOMIC_POSITIONS crystal
Nd 0.111 0.111 0.377
Nd 0.889 0.889 0.623
Ho 0.371 0.371 0.199
Ho 0.629 0.629 0.801
Al 0.286 0.286 0.788
Al 0.500 0.500 0.000
Al 0.714 0.714 0.212
CELL_PARAMETERS angstrom
7.687 -1.752 0.000
7.687 1.752 0.000
-4.135 0.000 7.282
```

Record 4
# Tm3Cu4Cl

Tm3Cu4Cl after structural relaxation (GGA-PBE, the Open Quantum Materials Database). Values from VASP.

Calculated values
For the volume, the calculation gives 179 Å³ per cell. The total energy is -28.40 eV/cell. The calculation puts the density at 7406 kg/m³.

Geometry as Quantum ESPRESSO input:
```
&SYSTEM
  ibrav = 0, nat = 8, ntyp = 3
/
ATOMIC_SPECIES
Tm 168.93 Tm.upf
Cu 63.55 Cu.upf
Cl 35.45 Cl.upf
ATOMIC_POSITIONS crystal
Tm 0.000 0.000 0.500
Tm 0.000 0.500 0.000
Tm 0.500 0.000 0.000
Cu 0.000 0.000 0.000
Cu 0.000 0.500 0.500
Cu 0.500 0.000 0.500
Cu 0.500 0.500 0.000
Cl 0.500 0.500 0.500
CELL_PARAMETERS angstrom
5.631 0.000 0.000
0.000 5.631 0.000
0.000 0.000 5.631
```

Record 5
# LiNd

LiNd after structural relaxation (GGA-PBE, the Open Quantum Materials Database). Values from VASP.

Calculated values
For the distance to the lowest polymorph of the same formula, the calculation gives 1026 meV per atom. For the volume, the calculation gives 70 Å³ per cell. The total energy is -4.32 eV/cell. The calculation puts the density at 3566 kg/m³.

Geometry as Quantum ESPRESSO input:
```
&SYSTEM
  ibrav = 0, nat = 2, ntyp = 2
/
ATOMIC_SPECIES
Li 6.94 Li.upf
Nd 144.24 Nd.upf
ATOMIC_POSITIONS crystal
Li 0.000 0.000 0.000
Nd 0.750 0.750 0.750
CELL_PARAMETERS angstrom
0.000 3.277 3.277
3.277 0.000 3.277
3.277 3.277 0.000
```

Record 6
# LuHf

LuHf after structural relaxation (GGA-PBE, the Open Quantum Materials Database). Values from VASP.

Calculated values
For the distance to the lowest polymorph of the same formula, the calculation gives 0 meV per atom. For the volume, the calculation gives 50 Å³ per cell. The total energy is -14.31 eV/cell. The calculation puts the density at 11690 kg/m³. Its energy relative to the elements is 0.0859 eV/atom.

Geometry as Quantum ESPRESSO input:
```
&SYSTEM
  ibrav = 0, nat = 2, ntyp = 2
/
ATOMIC_SPECIES
Lu 174.97 Lu.upf
Hf 178.49 Hf.upf
ATOMIC_POSITIONS crystal
Lu 0.000 0.000 0.000
Hf 0.333 0.667 0.500
CELL_PARAMETERS angstrom
3.331 0.000 0.000
-1.666 2.885 0.000
0.000 0.000 5.224
```

Record 7
# CdB4W

CdB4W after structural relaxation (GGA-PBE, the Open Quantum Materials Database). Values from VASP.

Calculated values
For the distance to the lowest polymorph of the same formula, the calculation gives 0 meV per atom. For the volume, the calculation gives 71 Å³ per cell. The total energy is -40.29 eV/cell. The calculation puts the density at 7911 kg/m³.

Geometry as Quantum ESPRESSO input:
```
&SYSTEM
  ibrav = 0, nat = 6, ntyp = 3
/
ATOMIC_SPECIES
Cd 112.41 Cd.upf
B 10.81 B.upf
W 183.84 W.upf
ATOMIC_POSITIONS crystal
Cd 0.000 0.000 0.000
B 0.333 0.667 0.323
B 0.333 0.667 0.677
B 0.667 0.333 0.323
B 0.667 0.333 0.677
W 0.000 0.000 0.500
CELL_PARAMETERS angstrom
2.969 0.000 0.000
-1.485 2.571 0.000
0.000 0.000 9.335
```

Record 8
# Zr2Al3Zn3

Zr2Al3Zn3 after structural relaxation (GGA-PBE, the Open Quantum Materials Database). Values from VASP.

Calculated values
For the volume, the calculation gives 135 Å³ per cell. The total energy is -35.71 eV/cell. The calculation puts the density at 5660 kg/m³.

Geometry as Quantum ESPRESSO input:
```
&SYSTEM
  ibrav = 0, nat = 8, ntyp = 3
/
ATOMIC_SPECIES
Zr 91.22 Zr.upf
Al 26.98 Al.upf
Zn 65.41 Zn.upf
ATOMIC_POSITIONS crystal
Zr 0.000 0.000 0.248
Zr 0.000 0.000 0.752
Al 0.000 0.500 0.000
Al 0.500 0.000 0.000
Al 0.500 0.000 0.500
Zn 0.000 0.500 0.500
Zn 0.500 0.500 0.251
Zn 0.500 0.500 0.749
CELL_PARAMETERS angstrom
4.070 0.000 0.000
0.000 4.099 0.000
0.000 0.000 8.083
```

Record 9
# NaYZnS3

NaYZnS3 after structural relaxation (GGA-PBE, the Open Quantum Materials Database). Values from VASP.

Calculated values
For the distance to the lowest polymorph of the same formula, the calculation gives 1 meV per atom. For the volume, the calculation gives 290 Å³ per cell. The total energy is -59.91 eV/cell. The calculation puts the density at 3131 kg/m³.

Geometry as Quantum ESPRESSO input:
```
&SYSTEM
  ibrav = 0, nat = 12, ntyp = 4
/
ATOMIC_SPECIES
Na 22.99 Na.upf
Y 88.91 Y.upf
Zn 65.41 Zn.upf
S 32.06 S.upf
ATOMIC_POSITIONS crystal
Na 0.190 0.250 0.183
Na 0.810 0.750 0.817
Y 0.329 0.750 0.852
Y 0.671 0.250 0.148
Zn 0.079 0.250 0.604
Zn 0.921 0.750 0.396
S 0.086 0.250 0.850
S 0.216 0.750 0.543
S 0.436 0.750 0.147
S 0.564 0.250 0.853
S 0.784 0.250 0.457
S 0.914 0.750 0.150
CELL_PARAMETERS angstrom
7.974 0.000 0.000
0.000 3.939 0.000
-2.405 0.000 9.234
```

Record 10
# DyLuTa2Ge2

DyLuTa2Ge2 after structural relaxation (GGA-PBE, the Open Quantum Materials Database). Values from VASP.

Calculated values
For the volume, the calculation gives 125 Å³ per cell. The total energy is -45.59 eV/cell. The calculation puts the density at 11238 kg/m³.

Geometry as Quantum ESPRESSO input:
```
&SYSTEM
  ibrav = 0, nat = 6, ntyp = 4
/
ATOMIC_SPECIES
Dy 162.50 Dy.upf
Lu 174.97 Lu.upf
Ta 180.95 Ta.upf
Ge 72.64 Ge.upf
ATOMIC_POSITIONS crystal
Dy 0.000 0.000 0.000
Lu 0.500 0.500 0.297
Ta 0.000 0.500 0.645
Ta 0.500 0.000 0.645
Ge 0.000 0.000 0.395
Ge 0.500 0.500 0.894
CELL_PARAMETERS angstrom
4.014 0.000 0.000
0.000 4.014 0.000
0.000 0.000 7.746
```

Record 11
# NdN

NdN after structural relaxation (GGA-PBE, the Open Quantum Materials Database). Values from VASP.

Calculated values
For the volume, the calculation gives 34 Å³ per cell. The total energy is -15.81 eV/cell. The calculation puts the density at 7725 kg/m³.

Geometry as Quantum ESPRESSO input:
```
&SYSTEM
  ibrav = 0, nat = 2, ntyp = 2
/
ATOMIC_SPECIES
Nd 144.24 Nd.upf
N 14.01 N.upf
ATOMIC_POSITIONS crystal
Nd 0.000 0.000 0.000
N 0.500 0.500 0.500
CELL_PARAMETERS angstrom
0.000 2.572 2.572
2.572 0.000 2.572
2.572 2.572 0.000
```

Record 12
# BaPrO3

BaPrO3 after structural relaxation (GGA-PBE, the Open Quantum Materials Database). Values from VASP.

Calculated values
For the volume, the calculation gives 367 Å³ per cell. The total energy is -137.37 eV/cell. The calculation puts the density at 5902 kg/m³.

Geometry as Quantum ESPRESSO input:
```
&SYSTEM
  ibrav = 0, nat = 20, ntyp = 3
/
ATOMIC_SPECIES
Ba 137.33 Ba.upf
Pr 140.91 Pr.upf
O 16.00 O.upf
ATOMIC_POSITIONS crystal
Ba 0.040 0.250 0.010
Ba 0.460 0.750 0.510
Ba 0.540 0.250 0.490
Ba 0.960 0.750 0.990
Pr 0.000 0.000 0.500
Pr 0.000 0.500 0.500
Pr 0.500 0.000 0.000
Pr 0.500 0.500 0.000
O 0.037 0.750 0.406
O 0.206 0.550 0.795
O 0.206 0.950 0.795
O 0.294 0.050 0.295
O 0.294 0.450 0.295
O 0.463 0.250 0.906
O 0.537 0.750 0.094
O 0.706 0.550 0.705
O 0.706 0.950 0.705
O 0.794 0.050 0.205
O 0.794 0.450 0.205
O 0.963 0.250 0.594
CELL_PARAMETERS angstrom
6.446 0.000 0.000
0.000 9.008 0.000
0.000 0.000 6.323
```

Question: density of number 12 (BaPrO3)?
Answer: 5902 kg/m³

Question: Which value of density does entry 11 give?
Answer: 7725 kg/m³

Question: The lowest density belongs to which entry?
Answer: NaYZnS3

Please write out number 10 again, unchanged.
# DyLuTa2Ge2

DyLuTa2Ge2 after structural relaxation (GGA-PBE, the Open Quantum Materials Database). Values from VASP.

Calculated values
For the volume, the calculation gives 125 Å³ per cell. The total energy is -45.59 eV/cell. The calculation puts the density at 11238 kg/m³.

Geometry as Quantum ESPRESSO input:
```
&SYSTEM
  ibrav = 0, nat = 6, ntyp = 4
/
ATOMIC_SPECIES
Dy 162.50 Dy.upf
Lu 174.97 Lu.upf
Ta 180.95 Ta.upf
Ge 72.64 Ge.upf
ATOMIC_POSITIONS crystal
Dy 0.000 0.000 0.000
Lu 0.500 0.500 0.297
Ta 0.000 0.500 0.645
Ta 0.500 0.000 0.645
Ge 0.000 0.000 0.395
Ge 0.500 0.500 0.894
CELL_PARAMETERS angstrom
4.014 0.000 0.000
0.000 4.014 0.000
0.000 0.000 7.746
```